No. 1
Computed, not measured: crystalline LiPrGa at its relaxed geometry at the PBE level of DFT.

Calculated values
Formation energy from the elements: -0.38 eV per atom
Energy relative to the lowest polymorph listed for this composition: 0.000 eV per atom

a b c (Å): 7.259 7.259 4.658
angles (deg): 90.00 90.00 120.00
Sites, in units of the cell vectors:
Li1 0.000 0.228 0.000
Li2 0.228 0.000 0.000
Li3 0.772 0.772 0.000
Pr1 0.000 0.578 0.500
Pr2 0.422 0.422 0.500
Pr3 0.578 0.000 0.500
Ga1 0.000 0.000 0.500
Ga2 0.333 0.667 0.000
Ga3 0.667 0.333 0.000



No. 2
Computed, not measured: crystalline TbNdH4 at its relaxed geometry at the PBE level of DFT.

a b c (Å): 3.775 3.775 5.365
angles (deg): 90.00 90.00 90.00
Sites, in units of the cell vectors:
Tb1 0.000 0.000 0.000
Nd1 0.500 0.500 0.500
H1 0.000 0.500 0.236
H2 0.000 0.500 0.764
H3 0.500 0.000 0.236
H4 0.500 0.000 0.764



No. 3
Computed, not measured: crystalline BaZrOs2 at its relaxed geometry at the PBE level of DFT.

Calculated values
Formation energy from the elements: 0.38 eV per atom
Energy relative to the lowest polymorph listed for this composition: 0.182 eV per atom

a b c (Å): 4.324 6.458 6.458
angles (deg): 37.75 90.00 90.00
Sites, in units of the cell vectors:
Ba1 0.000 0.000 0.000
Zr1 0.500 0.276 0.276
Os1 0.000 0.727 0.727
Os2 0.500 0.643 0.643



| no. | total magnetization (μB per cell) | calculated total energy (eV for the cell shown) |
| --- | --- | --- |
| 1 | 0.0 | -32.54 |
| 2 | 0.0 | -26.87 |
| 3 | 0.0 | -31.42 |